! SrAc4La2, relaxed, DFT PBE; values from VASP
&SYSTEM
  ibrav = 0, nat = 7, ntyp = 3
/
ATOMIC_SPECIES
Sr 87.62 Sr.upf
Ac 227.00 Ac.upf
La 138.91 La.upf
CELL_PARAMETERS angstrom
1.978 1.142 22.558
-1.978 1.142 22.558
0.000 -2.284 22.558
ATOMIC_POSITIONS crystal
Sr 0.000 0.000 0.000
Ac 0.143 0.143 0.143
Ac 0.282 0.282 0.282
Ac 0.718 0.718 0.718
Ac 0.857 0.857 0.857
La 0.430 0.430 0.430
La 0.570 0.570 0.570
! **Calculated volume**: 43.68 Å³/atom
! **Size of the total moment**: 0.00 μB/cell
! **SG**: R-3m
! **ΔE_f**: 0.033 eV per atom
! **VASP energy**: -3.963 eV per atom
! **Crystal system**: trigonal
! **Fermi-level density of states**: 11.90 states/eV per cell